CrAgSb2Te | meta-GGA SCAN | PBEsol geometry

Summary:
Formation energy (no corrections), eV/atom: 0.816
Density of states at the Fermi level, states/eV/atom: 0.71

a = 5.221 Å, b = 5.221 Å, c = 5.403 Å
α = 90.00°, β = 90.00°, γ = 90.00°
Atoms (fractional coordinates):
Te: 0.000 0.000 0.500
Sb: 0.500 0.000 0.000
Cr: 0.500 0.500 0.500
Sb: 0.000 0.500 0.000
Ag: 0.000 0.000 0.000

---

Sc2CrAg | meta-GGA SCAN | PBEsol geometry

Summary:
DFT formation energy, eV per atom: -0.028
Density of states at the Fermi level, states/eV/atom: 1.07

a = 4.022 Å, b = 4.022 Å, c = 5.394 Å
α = 111.89°, β = 111.89°, γ = 90.00°
Atoms (fractional coordinates):
Ag: 0.500 0.500 0.000
Cr: 0.250 0.750 0.500
Sc: 0.000 0.000 0.000
Sc: 0.750 0.250 0.500

---

ScCr2Ag | meta-GGA SCAN | PBEsol geometry

Summary:
DFT formation energy, eV per atom: 0.655
Density of states at the Fermi level, states/eV/atom: 0.78

a = 2.617 Å, b = 4.432 Å, c = 5.219 Å
α = 90.00°, β = 90.00°, γ = 90.00°
Atoms (fractional coordinates):
Cr: 0.000 0.000 0.217
Ag: 0.500 0.500 0.500
Sc: 0.500 0.500 0.000
Cr: 0.000 0.000 0.783

---

CrAg2Se | meta-GGA SCAN | PBEsol geometry

Summary:
Formation energy (no corrections), eV/atom: -0.018
Density of states at the Fermi level, states/eV/atom: 0.26

a = 3.814 Å, b = 3.814 Å, c = 4.710 Å
α = 90.00°, β = 90.00°, γ = 90.00°
Atoms (fractional coordinates):
Ag: 0.000 0.500 0.000
Se: 0.000 0.000 0.500
Cr: 0.500 0.500 0.500
Ag: 0.500 0.000 0.000

---

CrAgSe3 | meta-GGA SCAN | PBEsol geometry

Summary:
Formation energy (no corrections), eV/atom: 0.170
Density of states at the Fermi level, states/eV/atom: 0.90

a = 4.736 Å, b = 4.736 Å, c = 4.736 Å
α = 90.00°, β = 90.00°, γ = 90.00°
Atoms (fractional coordinates):
Se: 0.000 0.500 0.000
Ag: 0.500 0.500 0.500
Se: 0.500 0.000 0.000
Cr: 0.000 0.000 0.000
Se: 0.000 0.000 0.500

---

CrAgSe | meta-GGA SCAN | PBEsol geometry

Summary:
Formation energy (no corrections), eV/atom: -0.154

a = 3.308 Å, b = 3.308 Å, c = 5.825 Å
α = 90.00°, β = 90.00°, γ = 120.00°
Atoms (fractional coordinates):
Ag: 0.000 0.000 0.972
Se: 0.667 0.333 0.390
Cr: 0.333 0.667 0.638

---

CrAg2Se | meta-GGA SCAN | PBEsol geometry

Summary:
Formation energy (no corrections), eV/atom: 0.016
Density of states at the Fermi level, states/eV/atom: 0.28

a = 3.400 Å, b = 4.194 Å, c = 5.226 Å
α = 97.38°, β = 108.98°, γ = 90.00°
Atoms (fractional coordinates):
Ag: 0.739 0.742 0.478
Ag: 0.261 0.258 0.522
Se: 0.500 0.000 0.000
Cr: 0.000 0.500 0.000

---

CrSiAg2 | meta-GGA SCAN | PBEsol geometry

Summary:
Formation energy (no corrections), eV/atom: 0.200
Density of states at the Fermi level, states/eV/atom: 0.32

a = 4.430 Å, b = 4.399 Å, c = 4.430 Å
α = 120.24°, β = 90.00°, γ = 120.24°
Atoms (fractional coordinates):
Ag: 0.000 0.000 0.000
Si: 0.250 0.500 0.750
Cr: 0.500 0.000 0.500
Ag: 0.750 0.500 0.250

---

CrSiTcAg2 | meta-GGA SCAN | PBEsol geometry

Summary:
Formation energy (no corrections), eV/atom: 1.171
Density of states at the Fermi level, states/eV/atom: 0.68

a = 4.421 Å, b = 4.957 Å, c = 4.957 Å
α = 90.00°, β = 90.00°, γ = 90.00°
Atoms (fractional coordinates):
Ag: 0.000 0.500 0.000
Cr: 0.500 0.500 0.500
Ag: 0.000 0.000 0.500
Tc: 0.000 0.000 0.000
Si: 0.500 0.000 0.000

---

TaCrAg2Sn | meta-GGA SCAN | PBEsol geometry

Summary:
DFT formation energy, eV per atom: 1.185
Density of states at the Fermi level, states/eV/atom: 0.59

a = 4.374 Å, b = 4.847 Å, c = 4.847 Å
α = 90.00°, β = 90.00°, γ = 90.00°
Atoms (fractional coordinates):
Ta: 0.500 0.000 0.000
Cr: 0.000 0.000 0.000
Ag: 0.000 0.000 0.500
Ag: 0.000 0.500 0.000
Sn: 0.500 0.500 0.500

---

Sr3CrAg | meta-GGA SCAN | PBEsol geometry

Summary:
DFT formation energy, eV per atom: 0.266
Density of states at the Fermi level, states/eV/atom: 0.56

a = 5.943 Å, b = 5.943 Å, c = 5.943 Å
α = 90.00°, β = 90.00°, γ = 90.00°
Atoms (fractional coordinates):
Sr: 0.000 0.500 0.000
Sr: 0.500 0.000 0.000
Cr: 0.500 0.500 0.500
Sr: 0.000 0.000 0.500
Ag: 0.000 0.000 0.000

---

CrTcAg4 | meta-GGA SCAN | PBEsol geometry

Summary:
DFT formation energy, eV per atom: 0.550
Density of states at the Fermi level, states/eV/atom: 0.32

a = 5.243 Å, b = 5.243 Å, c = 5.243 Å
α = 60.00°, β = 60.00°, γ = 60.00°
Atoms (fractional coordinates):
Ag: 0.375 0.875 0.375
Tc: 0.000 0.000 0.000
Cr: 0.750 0.750 0.750
Ag: 0.375 0.375 0.375
Ag: 0.375 0.375 0.875
Ag: 0.875 0.375 0.375

---

Cr2TcAg | meta-GGA SCAN | PBEsol geometry

Summary:
DFT formation energy, eV per atom: 0.495
Density of states at the Fermi level, states/eV/atom: 0.56

a = 2.784 Å, b = 4.426 Å, c = 4.831 Å
α = 110.29°, β = 106.75°, γ = 90.00°
Atoms (fractional coordinates):
Tc: 0.481 0.457 0.963
Cr: 0.725 0.255 0.449
Ag: 0.264 0.786 0.528
Cr: 0.030 0.001 0.060

---

Cr2TcAg | meta-GGA SCAN | PBEsol geometry

Summary:
DFT formation energy, eV per atom: 0.633
Density of states at the Fermi level, states/eV/atom: 1.19

a = 2.634 Å, b = 4.548 Å, c = 4.711 Å
α = 98.87°, β = 90.00°, γ = 106.83°
Atoms (fractional coordinates):
Ag: 0.500 0.000 0.000
Cr: 0.747 0.493 0.731
Cr: 0.253 0.507 0.269
Tc: 0.000 0.000 0.500

---

Cr2TcAg | meta-GGA SCAN | PBEsol geometry

Summary:
DFT formation energy, eV per atom: 0.407
Density of states at the Fermi level, states/eV/atom: 0.59

a = 3.056 Å, b = 3.056 Å, c = 5.801 Å
α = 90.00°, β = 90.00°, γ = 90.00°
Atoms (fractional coordinates):
Cr: 0.000 0.000 0.050
Cr: 0.500 0.500 0.239
Ag: 0.500 0.500 0.761
Tc: 0.000 0.000 0.450

---

Cr3TcAg | meta-GGA SCAN | PBEsol geometry

Summary:
DFT formation energy, eV per atom: 1.096
Density of states at the Fermi level, states/eV/atom: 0.58

a = 4.539 Å, b = 4.539 Å, c = 4.539 Å
α = 90.00°, β = 90.00°, γ = 90.00°
Atoms (fractional coordinates):
Tc: 0.000 0.000 0.000
Ag: 0.500 0.500 0.500
Cr: 0.000 0.500 0.000
Cr: 0.500 0.000 0.000
Cr: 0.000 0.000 0.500

---

CrAgTe3 | meta-GGA SCAN | PBEsol geometry

Summary:
Formation energy (no corrections), eV/atom: 0.385
Density of states at the Fermi level, states/eV/atom: 0.81

a = 5.132 Å, b = 5.132 Å, c = 5.132 Å
α = 90.00°, β = 90.00°, γ = 90.00°
Atoms (fractional coordinates):
Te: 0.000 0.000 0.500
Te: 0.000 0.500 0.000
Ag: 0.500 0.500 0.500
Te: 0.500 0.000 0.000
Cr: 0.000 0.000 0.000

---

Cr2AgTe4 | meta-GGA SCAN | PBEsol geometry

Summary:
Formation energy (no corrections), eV/atom: -0.402
Density of states at the Fermi level, states/eV/atom: 0.31

a = 7.970 Å, b = 7.970 Å, c = 7.970 Å
α = 60.00°, β = 60.00°, γ = 60.00°
Atoms (fractional coordinates):
Ag: 0.250 0.250 0.250
Cr: 0.625 0.125 0.625
Te: 0.387 0.838 0.387
Te: 0.838 0.387 0.387
Ag: 0.000 0.000 0.000
Te: 0.387 0.387 0.838
Cr: 0.125 0.625 0.625
Te: 0.863 0.412 0.863
Te: 0.863 0.863 0.863
Te: 0.387 0.387 0.387
Te: 0.863 0.863 0.412
Cr: 0.625 0.625 0.125
Te: 0.412 0.863 0.863
Cr: 0.625 0.625 0.625

---

Cr2AgTe | meta-GGA SCAN | PBEsol geometry

Summary:
Formation energy (no corrections), eV/atom: 0.963
Density of states at the Fermi level, states/eV/atom: 0.87

a = 2.959 Å, b = 2.959 Å, c = 8.414 Å
α = 79.87°, β = 79.87°, γ = 60.00°
Atoms (fractional coordinates):
Cr: 0.247 0.247 0.260
Te: 0.500 0.500 0.500
Cr: 0.753 0.753 0.740
Ag: 0.000 0.000 0.000

---

Tl2CrAg | meta-GGA SCAN | PBEsol geometry

Summary:
DFT formation energy, eV per atom: 0.279
Density of states at the Fermi level, states/eV/atom: 0.39
Energy above the most stable polymorph in this dataset, eV/atom: 0.010

a = 4.844 Å, b = 4.836 Å, c = 4.844 Å
α = 120.05°, β = 90.00°, γ = 120.05°
Atoms (fractional coordinates):
Ag: 0.500 0.000 0.500
Tl: 0.750 0.500 0.250
Cr: 0.000 0.000 0.000
Tl: 0.250 0.500 0.750